DFT (PBE-GGA) results for a geometry-optimized AlFe3W structure.

Lattice parameters (Å, degrees): 4.476 4.476 4.476 90.00 90.00 90.00
Element x y z (fractional)
Fe  0.000  0.500  0.000
Fe  0.000  0.000  0.500
Fe  0.500  0.000  0.000
W  0.000  0.000  0.000
Al  0.500  0.500  0.500

Properties
- Excess energy over the best structure of this formula in the dataset: 199 meV per atom
- Formation energy: 1481 meV per atom
- Size of the total moment: 0.857 μB/atom
- DFT total energy: -34.68 eV for the cell shown